## one
First-principles (GGA-PBE) data for crystalline Pt4Au at its relaxed geometry, as listed in the Alexandria database.

The structure in POSCAR format:
```
Pt4Au
1.0
-0.972 -1.349 -2.286
-2.741 -1.867 2.267
-2.724 6.904 -1.166
Pt Au
4 1
Cartesian
-2.795 -0.522 -0.251
-1.849 2.138 -0.475
-4.588 1.550 -0.711
-3.642 4.211 -0.935
0.000 0.000 0.000
```

Output
The total magnetic moment comes out at 0.00 μB per cell. The density of states at the Fermi level is 9.054 states/eV/cell. Its symmetry is No. 71.

=====

## two
First-principles (GGA-PBE) data for crystalline Pt4Au at its relaxed geometry, as listed in the Alexandria database.

The structure in POSCAR format:
```
Pt4Au
1.0
6.373 0.000 0.000
0.000 6.373 0.000
3.187 3.187 1.985
Au Pt
1 4
Cartesian
0.000 0.000 0.000
5.123 3.838 0.000
3.838 1.250 0.000
1.250 2.535 0.000
2.535 5.123 0.000
```

Output
The total magnetic moment comes out at 0.00 μB per cell. The density of states at the Fermi level is 8.377 states/eV/cell. Its symmetry is No. 87.

=====

Tell me which of them is the least stable. Sure, it is two.